Crystalline Pa2Ge3Mo at its relaxed geometry. Source: Alexandria, functional GGA-PBE.

Results
**Total magnetic moment**: 0.000 μB per atom
**Calculated total energy**: -7.59 eV/atom
**Energy of formation**: -0.32 eV per atom
**Volume**: 503.4 Å³/cell

Lattice parameters (Å, degrees): 7.222 3.805 18.320 90.00 90.00 90.00
Space group Pnma (No. 62)
Asymmetric unit:
Pa 0.163 0.250 0.083 (multiplicity 4)
Pa 0.171 0.250 0.304 (multiplicity 4)
Ge 0.014 0.250 0.814 (multiplicity 4)
Ge 0.145 0.250 0.684 (multiplicity 4)
Ge 0.234 0.750 0.961 (multiplicity 4)
Mo 0.013 0.750 0.444 (multiplicity 4)